The following is a DFT calculation (PBE-GGA) of a geometry-optimized Li2SbS structure.

Output
E above lowest polymorph ... 0.2423 eV per atom
Formation energy (no corrections) ... -328 meV per atom
Density of states at the Fermi level ... 2.1 states/eV/f.u.

abc: 4.717 4.717 4.717
angles: 60.00 60.00 60.00
Atoms (fractional coordinates):
Li 0.250 0.250 0.250
Li 0.750 0.750 0.750
S 0.000 0.000 0.000
Sb 0.500 0.500 0.500

The following is a DFT calculation (PBE-GGA) of a geometry-optimized AcNdBiTe structure.

Output
Formation energy (no corrections) ... -1039 meV per atom
Density of states at the Fermi level ... 3.3 states/eV/f.u.

abc: 5.711 5.711 5.711
angles: 60.00 60.00 60.00
Each line ends with the local moment (μB).
Atoms (fractional coordinates):
Te 0.500 0.500 0.500  -0.01
Nd 0.250 0.250 0.250  0.14
Ac 0.750 0.750 0.750  0.07
Bi 0.000 0.000 0.000  -0.01

The following is a DFT calculation (PBE-GGA) of a geometry-optimized PrCuCl2 structure.

Output
Formation energy (no corrections) ... -702 meV per atom
Density of states at the Fermi level ... 1.4 states/eV/f.u.

abc: 3.787 3.787 8.483
angles: 77.10 77.10 60.00
Atoms (fractional coordinates):
Cl 0.113 0.113 0.662
Cl 0.887 0.887 0.338
Cu 0.500 0.500 0.500
Pr 0.000 0.000 0.000

The following is a DFT calculation (PBE-GGA) of a geometry-optimized Cs3TbNp2O9 structure.

Output
Formation energy (no corrections) ... -2614 meV per atom
Density of states at the Fermi level ... 0.3 states/eV/f.u.

abc: 6.230 6.230 7.630
angles: 90.00 90.00 120.00
Each line ends with the local moment (μB).
Atoms (fractional coordinates):
O 0.356 0.178 0.681  -0.05
O 0.822 0.644 0.681  -0.05
O 0.822 0.178 0.681  -0.05
O 0.500 0.000 0.000  -0.06
O 0.000 0.500 0.000  -0.06
O 0.178 0.822 0.319  -0.05
O 0.500 0.500 0.000  -0.06
O 0.178 0.356 0.319  -0.05
O 0.644 0.822 0.319  -0.05
Cs 0.000 0.000 0.000  0.00
Cs 0.333 0.667 0.663  0.00
Cs 0.667 0.333 0.337  0.00
Np 0.333 0.667 0.165  1.24
Np 0.667 0.333 0.835  1.24
Tb 0.000 0.000 0.500  -0.02

The following is a DFT calculation (PBE-GGA) of a geometry-optimized Na2VSi structure.

Output
Formation energy (no corrections) ... 694 meV per atom
Density of states at the Fermi level ... 1.7 states/eV/f.u.

abc: 8.487 8.487 6.528
angles: 49.45 49.45 90.00
Each line ends with the local moment (μB).
Atoms (fractional coordinates):
Si 0.500 0.500 0.000  -0.15
Si 0.250 0.750 0.500  -0.15
Na 0.165 0.625 0.250  0.01
Na 0.875 0.835 0.750  0.01
Na 0.375 0.415 0.750  0.01
Na 0.585 0.125 0.250  0.01
V 0.000 0.000 0.000  2.68
V 0.750 0.250 0.500  2.68

The following is a DFT calculation (PBE-GGA) of a geometry-optimized WCN2 structure.

Output
Formation energy (no corrections) ... 960 meV per atom
Density of states at the Fermi level ... 1.1 states/eV/f.u.

abc: 4.431 4.431 4.689
angles: 61.80 61.80 90.00
Atoms (fractional coordinates):
N 0.512 0.125 0.250
N 0.875 0.762 0.750
N 0.238 0.625 0.250
N 0.375 0.488 0.750
W 0.750 0.250 0.500
W 0.000 0.000 0.000
C 0.250 0.750 0.500
C 0.500 0.500 0.000

Question: What is the formula in the fifth record?
Answer: Na2VSi

Question: Look up the formation energy (no corrections) of the first one.
Answer: -328 meV per atom